## CaIn2Tc (GGA-PBE)

Data for a geometry-optimized CaIn2Tc structure.

Cell lengths 3.5868, 3.5894, 7.3878 Å; angles 90.00, 90.00, 90.00 degrees
Last column: magnetic moment on the atom in μB.
Sites, in units of the cell vectors:
In 0.5000 0.5000 0.3008  0.00
In 0.0000 0.0000 0.0418  0.00
Ca 0.5000 0.5000 0.7175  0.00
Tc 0.0000 0.0000 0.4398  0.11

Properties
Uncorrected energy ... -4.28 eV per atom
SG ... P4mm
Magnetic moment ... 0.10 μB/f.u.
Formation energy from the elements ... 0.185 eV per atom

## CaTmSn2 (GGA-PBE)

Data for a geometry-optimized CaTmSn2 structure.

Cell lengths 4.3699, 4.9590, 4.9590 Å; angles 90.00, 90.00, 90.00 degrees
Sites, in units of the cell vectors:
Ca 0.5000 0.0000 0.0000
Sn 0.0000 0.0000 0.5000
Sn 0.0000 0.5000 0.0000
Tm 0.5000 0.5000 0.5000

Properties
Uncorrected energy ... -4.17 eV per atom
SG ... P4/mmm
Magnetic moment ... 0.00 μB/f.u.
Formation energy from the elements ... -0.553 eV per atom

## LaTmAgRu (GGA-PBE)

Data for a geometry-optimized LaTmAgRu structure.

Cell lengths 5.0569, 5.0569, 5.0569 Å; angles 60.00, 60.00, 60.00 degrees
Sites, in units of the cell vectors:
Ru 0.7500 0.7500 0.7500
Tm 0.5000 0.5000 0.5000
Ag 0.2500 0.2500 0.2500
La 0.0000 0.0000 0.0000

Properties
Uncorrected energy ... -5.64 eV per atom
SG ... F-43m
Magnetic moment ... 0.00 μB/f.u.
Formation energy from the elements ... -0.260 eV per atom

## Y2CrCdIr (GGA-PBE)

Data for a geometry-optimized Y2CrCdIr structure.

Cell lengths 5.4703, 4.7631, 5.4703 Å; angles 90.00, 90.00, 90.00 degrees
Last column: magnetic moment on the atom in μB.
Sites, in units of the cell vectors:
Cr 0.0000 0.5000 0.0000  3.71
Cd 0.0000 0.0000 0.0000  0.01
Ir 0.5000 0.5000 0.5000  -0.33
Y 0.5000 0.0000 0.0000  -0.06
Y 0.0000 0.0000 0.5000  -0.02

Properties
Uncorrected energy ... -5.38 eV per atom
SG ... P4/mmm
Magnetic moment ... 3.90 μB/f.u.
Formation energy from the elements ... 1.090 eV per atom

Repeat the second record exactly.
## CaTmSn2 (GGA-PBE)

Data for a geometry-optimized CaTmSn2 structure.

Cell lengths 4.3699, 4.9590, 4.9590 Å; angles 90.00, 90.00, 90.00 degrees
Sites, in units of the cell vectors:
Ca 0.5000 0.0000 0.0000
Sn 0.0000 0.0000 0.5000
Sn 0.0000 0.5000 0.0000
Tm 0.5000 0.5000 0.5000

Properties
Uncorrected energy ... -4.17 eV per atom
SG ... P4/mmm
Magnetic moment ... 0.00 μB/f.u.
Formation energy from the elements ... -0.553 eV per atom